No. 1
An optimized crystal structure of NdTm3Ir2. Source: the Alexandria database, functional PBE.

Values from the calculation:
total DFT energy (no corrections): -6.574 eV per atom

Unit cell a=7.661 b=7.661 c=8.073 alpha=96.70 beta=96.70 gamma=38.46
Fractional coordinates of all 12 atoms:
Nd (0.154, 0.154, 0.298)
Nd (0.846, 0.846, 0.702)
Tm (0.071, 0.071, 0.824)
Tm (0.325, 0.325, 0.985)
Tm (0.385, 0.385, 0.438)
Tm (0.615, 0.615, 0.562)
Tm (0.675, 0.675, 0.015)
Tm (0.929, 0.929, 0.176)
Ir (0.227, 0.227, 0.657)
Ir (0.480, 0.480, 0.789)
Ir (0.520, 0.520, 0.211)
Ir (0.773, 0.773, 0.343)

---

No. 2
An optimized crystal structure of NdTm4Ir5. Source: the Alexandria database, functional PBE.

Values from the calculation:
total DFT energy (no corrections): -7.523 eV per atom

Unit cell a=3.330 b=3.330 c=17.893 alpha=90.00 beta=90.00 gamma=90.00
Fractional coordinates of all 10 atoms:
Nd (0.000, 0.000, 0.000)
Tm (0.000, 0.000, 0.206)
Tm (0.000, 0.000, 0.402)
Tm (0.000, 0.000, 0.598)
Tm (0.000, 0.000, 0.794)
Ir (0.500, 0.500, 0.111)
Ir (0.500, 0.500, 0.305)
Ir (0.500, 0.500, 0.500)
Ir (0.500, 0.500, 0.695)
Ir (0.500, 0.500, 0.889)

---

No. 3
An optimized crystal structure of Nd2TmIr3. Source: the Alexandria database, functional PBE.

Values from the calculation:
total DFT energy (no corrections): -7.138 eV per atom

Unit cell a=6.419 b=6.419 c=6.419 alpha=137.25 beta=127.13 gamma=70.25
Fractional coordinates of all 6 atoms:
Nd (0.172, 0.172, 0.000)
Nd (0.828, 0.828, 0.000)
Tm (0.500, 0.500, 0.000)
Ir (0.000, 0.500, 0.500)
Ir (0.360, 0.860, 0.500)
Ir (0.640, 0.140, 0.500)

---

No. 4
An optimized crystal structure of NdTm3Ir. Source: the Alexandria database, functional PBE.

Values from the calculation:
total DFT energy (no corrections): -5.745 eV per atom

Unit cell a=5.383 b=5.383 c=5.383 alpha=90.00 beta=90.00 gamma=90.00
Fractional coordinates of all 5 atoms:
Nd (0.000, 0.000, 0.000)
Tm (0.000, 0.500, 0.500)
Tm (0.500, 0.000, 0.500)
Tm (0.500, 0.500, 0.000)
Ir (0.500, 0.500, 0.500)

---

no.,density (g/cm3),density of states at the Fermi level (states/eV/f.u.)
1,11.76,3.7
2,14.91,3.9
3,12.23,2.6
4,8.98,6.1